(1)
DFT (PBE-GGA) results for a relaxed CsAlSbS4 crystal.

## Properties
The value obtained for the uncorrected formation energy is -712 meV/atom. Its total magnetic moment is 0.00 μB per atom. Its density of states at the Fermi level is 5.1 states/eV per cell.

a = 6.359 Å, b = 6.971 Å, c = 10.292 Å
α = 90.00°, β = 119.14°, γ = 90.00°
Element x y z (fractional)
Cs (0.646, 0.750, 0.930)
Cs (0.354, 0.250, 0.070)
Al (0.199, 0.750, 0.345)
Al (0.801, 0.250, 0.655)
Sb (0.775, 0.750, 0.444)
Sb (0.225, 0.250, 0.556)
S (0.063, 0.495, 0.689)
S (0.937, 0.995, 0.311)
S (0.937, 0.505, 0.311)
S (0.063, 0.005, 0.689)
S (0.366, 0.750, 0.197)
S (0.634, 0.250, 0.803)
S (0.516, 0.750, 0.573)
S (0.484, 0.250, 0.427)

---

(2)
DFT (PBE-GGA) results for a relaxed BaRu2Xe5F22 crystal.

## Properties
The value obtained for the uncorrected formation energy is -1363 meV/atom. Its total magnetic moment is 0.20 μB per atom.

a = 10.033 Å, b = 9.369 Å, c = 9.362 Å
α = 64.78°, β = 57.65°, γ = 57.58°
Last column: magnetic moment on the atom in μB.
Element x y z (fractional)
Ba (0.000, 0.000, 0.000)  0.00
Ru (0.000, 0.500, 0.000)  2.08
Ru (0.500, 0.000, 0.500)  2.08
Xe (0.500, 0.500, 0.500)  0.00
Xe (0.500, 0.000, 0.000)  0.01
Xe (0.000, 0.500, 0.500)  0.01
Xe (0.500, 0.500, 0.000)  0.00
Xe (0.000, 0.000, 0.500)  0.00
F (0.354, 0.646, 0.354)  0.00
F (0.646, 0.354, 0.646)  0.00
F (0.699, 0.058, 0.942)  0.00
F (0.301, 0.942, 0.058)  0.00
F (0.058, 0.699, 0.301)  0.00
F (0.942, 0.301, 0.699)  0.00
F (0.700, 0.300, 0.072)  0.00
F (0.928, 0.072, 0.300)  0.00
F (0.300, 0.700, 0.928)  0.00
F (0.072, 0.928, 0.700)  0.00
F (0.043, 0.294, 0.957)  0.12
F (0.706, 0.957, 0.294)  0.12
F (0.294, 0.043, 0.706)  0.12
F (0.957, 0.706, 0.043)  0.12
F (0.763, 0.589, 0.047)  0.13
F (0.601, 0.047, 0.589)  0.13
F (0.589, 0.763, 0.601)  0.13
F (0.047, 0.601, 0.763)  0.13
F (0.237, 0.411, 0.953)  0.13
F (0.399, 0.953, 0.411)  0.13
F (0.411, 0.237, 0.399)  0.13
F (0.953, 0.399, 0.237)  0.13